# GGA-PBE Mn2FeRu, relaxed
data_Mn2FeRu
_cell_length_a 8.424
_cell_length_b 8.424
_cell_length_c 8.424
_cell_angle_alpha 17.51
_cell_angle_beta 17.51
_cell_angle_gamma 17.51
_space_group_name_H-M_alt 'P 1'
_space_group_IT_number 1
_space_group_name_Hall 'P 1'
loop_
_atom_site_label
_atom_site_fract_x
_atom_site_fract_y
_atom_site_fract_z
_atom_site_occupancy
Mn1 0.000 0.000 0.000 1
Mn2 0.254 0.254 0.254 1
Fe1 0.747 0.747 0.747 1
Ru1 0.501 0.501 0.501 1
# * DOS(E_F): 5.036 states/eV/cell
# * DFT formation energy: 166 meV/atom
# * raw total energy: -35.413 eV/cell
# * polymorph energy (0 for the lowest one): 151.7 meV/atom
# * total moment: 1.308 μB/f.u.
# * space-group type: R3m, No. 160